## Ce6Mg23Sn (PBEsol)

Data for Ce6Mg23Sn after structural relaxation.

```
Ce6Mg23Sn
1.0
0.000 7.187 7.187
7.187 0.000 7.187
7.187 7.187 0.000
Ce Mg Sn
6 23 1
direct
0.217 0.217 0.783
0.217 0.783 0.217
0.217 0.783 0.783
0.783 0.217 0.217
0.783 0.217 0.783
0.783 0.783 0.217
0.000 0.000 0.500
0.000 0.500 0.000
0.000 0.500 0.500
0.132 0.623 0.623
0.166 0.166 0.166
0.166 0.166 0.502
0.166 0.502 0.166
0.377 0.377 0.377
0.377 0.377 0.868
0.377 0.868 0.377
0.498 0.834 0.834
0.500 0.000 0.000
0.500 0.000 0.500
0.500 0.500 0.000
0.500 0.500 0.500
0.502 0.166 0.166
0.623 0.132 0.623
0.623 0.623 0.132
0.623 0.623 0.623
0.834 0.498 0.834
0.834 0.834 0.498
0.834 0.834 0.834
0.868 0.377 0.377
0.000 0.000 0.000
```

Calculated values
ΔH_f (0 K) = -0.014 eV/atom
Crystal system = cubic
Uncorrected energy = -83.734 eV per cell